Record 1
Compound: BeReRu2
Source: Alexandria via LeMat-Bulk
Functional: PBE
Structure: optimized geometry

```
data_BeReRu2
_space_group_name_H-M_alt 'P 1'
_space_group_IT_number 1
_cell_length_a 4.220
_cell_length_b 4.220
_cell_length_c 4.220
_cell_angle_alpha 60.00
_cell_angle_beta 60.00
_cell_angle_gamma 60.00
loop_
_space_group_symop_operation_xyz
'x,y,z'
loop_
_atom_site_label
_atom_site_fract_x
_atom_site_fract_y
_atom_site_fract_z
Be1 0.000 0.000 0.000
Re1 0.250 0.250 0.250
Ru1 0.500 0.500 0.500
Ru2 0.750 0.750 0.750
```

## Properties
SG ... F-43m, No. 216
Crystal system ... cubic

Record 2
Compound: BeReRu2
Source: Alexandria via LeMat-Bulk
Functional: PBE
Structure: optimized geometry

```
data_BeReRu2
_space_group_name_H-M_alt 'P 1'
_space_group_IT_number 1
_cell_length_a 4.241
_cell_length_b 4.241
_cell_length_c 2.955
_cell_angle_alpha 90.00
_cell_angle_beta 90.00
_cell_angle_gamma 90.00
loop_
_space_group_symop_operation_xyz
'x,y,z'
loop_
_atom_site_label
_atom_site_fract_x
_atom_site_fract_y
_atom_site_fract_z
Be1 0.000 0.000 0.000
Re1 0.500 0.500 0.000
Ru1 0.000 0.500 0.500
Ru2 0.500 0.000 0.500
```

## Properties
SG ... P4/mmm, No. 123
Crystal system ... tetragonal

Record 3
Compound: Be2ReRu
Source: Alexandria via LeMat-Bulk
Functional: PBE
Structure: optimized geometry

```
data_Be2ReRu
_space_group_name_H-M_alt 'P 1'
_space_group_IT_number 1
_cell_length_a 5.007
_cell_length_b 5.007
_cell_length_c 5.007
_cell_angle_alpha 105.30
_cell_angle_beta 105.30
_cell_angle_gamma 118.17
loop_
_space_group_symop_operation_xyz
'x,y,z'
loop_
_atom_site_label
_atom_site_fract_x
_atom_site_fract_y
_atom_site_fract_z
Be1 0.116 0.625 0.991
Be2 0.375 0.366 0.491
Be3 0.634 0.125 0.009
Be4 0.875 0.884 0.509
Re1 0.250 0.750 0.500
Re2 0.500 0.500 0.000
Ru1 0.000 0.000 0.000
Ru2 0.750 0.250 0.500
```

## Properties
SG ... I-42d, No. 122
Crystal system ... tetragonal

no.,polymorph energy (0 for the lowest one) (kJ/mol of formula units),DOS at the Fermi energy (states/eV per atom),ΔE_f (eV per atom)
1,180,1.50,0.305
2,96,0.55,0.085
3,204,0.61,0.353